# PBE with a Hubbard U Ba3MnSb2O8, relaxed
data_Ba3MnSb2O8
_symmetry_space_group_name_H-M 'P 1'
_symmetry_Int_Tables_number 1
_symmetry_space_group_name_Hall 'P 1'
_cell_length_a 6.0367
_cell_length_b 6.0367
_cell_length_c 7.9001
_cell_angle_alpha 90.00
_cell_angle_beta 90.00
_cell_angle_gamma 120.00
loop_
_atom_site_label
_atom_site_fract_x
_atom_site_fract_y
_atom_site_fract_z
_atom_site_occupancy
O1 0.6667 0.3333 0.0481 1
O2 0.3278 0.1639 0.6725 1
Ba1 0.3333 0.6667 0.6374 1
O3 0.8361 0.6722 0.6725 1
O4 0.3333 0.6667 0.9519 1
Ba2 0.6667 0.3333 0.3626 1
O5 0.1639 0.8361 0.3275 1
Sb1 0.6667 0.3333 0.7949 1
O6 0.1639 0.3278 0.3275 1
Mn1 0.0000 0.0000 0.5000 1
O7 0.6722 0.8361 0.3275 1
Sb2 0.3333 0.6667 0.2051 1
Ba3 0.0000 0.0000 0.0000 1
O8 0.8361 0.1639 0.6725 1
# Energy in eV/atom: -6.258
# Total magnetic moment in Bohr magnetons per cell: 3.6
# Symmetry: No. 164